DFT (PBE) results for a relaxed PuCd3Hg2 crystal.

For the energy, the calculation gives -3.0017 eV per atom. The density of states at the Fermi level comes out at 48.07 states/eV/cell.

It has space group C2/m (No. 12), with a = 14.9722 Å, b = 4.9073 Å, c = 9.3922 Å, α = 90.00°, β = 121.68° and γ = 90.00°. The distinct sites, in fractional coordinates, are Pu at (0.1235, 0.0000, 0.1143), Cd at (0.0034, 0.0000, 0.3429), Cd at (0.1198, 0.5000, 0.6032), Cd at (0.2474, 0.5000, 0.4138), Hg at (0.0040, 0.5000, 0.8360) and Hg at (0.2368, 0.0000, 0.8917).

DFT (PBE) results for a relaxed PuCd23Hg6 crystal.

For the energy, the calculation gives -1.2002 eV per atom. The density of states at the Fermi level comes out at 112.68 states/eV/cell.

It has space group Fm-3m (No. 225), with a = 14.2510 Å, b = 14.2510 Å, c = 14.2510 Å, α = 90.00°, β = 90.00° and γ = 90.00°. The distinct sites, in fractional coordinates, are Pu at (0.0000, 0.0000, 0.0000), Cd at (0.0000, 0.0000, 0.5000), Cd at (0.0000, 0.2500, 0.2500), Cd at (0.1246, 0.1246, 0.3754), Cd at (0.1490, 0.1490, 0.1490) and Hg at (0.0000, 0.0000, 0.2290).